(A)
## Ag5S2I2 (PBE-GGA)

Data for an optimized crystal structure of Ag5S2I2.

The value obtained for the calculated volume is 26.46 A^3/atom. The calculation puts the density of states at the Fermi level at 15.742 states/eV/cell.

Cell lengths 7.189, 7.147, 10.566 Å; angles 109.77, 109.89, 90.00 degrees
Sites, in units of the cell vectors:
Ag: 0.811 0.780 0.741
Ag: 0.189 0.039 0.259
Ag: 0.430 0.280 0.741
Ag: 0.807 0.340 0.023
Ag: 0.923 0.074 0.500
Ag: 0.077 0.574 0.500
Ag: 0.570 0.539 0.259
Ag: 0.715 0.840 0.023
Ag: 0.193 0.318 0.977
Ag: 0.285 0.818 0.977
I: 0.600 0.130 0.258
I: 0.158 0.630 0.258
I: 0.400 0.872 0.742
I: 0.842 0.372 0.742
S: 0.795 0.760 0.500
S: 0.500 0.524 0.000
S: 0.000 0.024 0.000
S: 0.205 0.260 0.500

(B)
## Ag5S2I2 (PBE-GGA)

Data for an optimized crystal structure of Ag5S2I2.

The value obtained for the calculated volume is 28.37 A^3/atom. The calculation puts the density of states at the Fermi level at 4.010 states/eV/cell.

Cell lengths 4.274, 8.409, 7.551 Å; angles 100.70, 106.44, 90.00 degrees
Sites, in units of the cell vectors:
S: 0.145 0.901 0.291
S: 0.855 0.099 0.709
I: 0.626 0.379 0.253
I: 0.374 0.621 0.747
Ag: 0.000 0.000 0.000
Ag: 0.135 0.603 0.270
Ag: 0.435 0.198 0.870
Ag: 0.565 0.802 0.130
Ag: 0.865 0.397 0.730

Energies in meV per atom, measured from the most stable structure: (A) 7; (B) 0.